Version w
# meta-GGA SCAN CoIrW2, PBEsol geometry
# M_tot   0.012 Bohr magnetons per cell
data_CoIrW2
_chemical_formula_sum 'Co1 Ir1 W2'
_cell_length_a 4.6710
_cell_length_b 4.6710
_cell_length_c 4.6710
_cell_angle_alpha 131.99
_cell_angle_beta 131.99
_cell_angle_gamma 70.25
_symmetry_space_group_name_H-M 'P 1'
_symmetry_Int_Tables_number 1
_symmetry_space_group_name_Hall 'P 1'
loop_
_atom_site_label
_atom_site_type_symbol
_atom_site_fract_x
_atom_site_fract_y
_atom_site_fract_z
Co1 Co 0.0000 0.0000 0.0000
Ir1 Ir 0.5000 0.5000 0.0000
W1 W 0.2500 0.7500 0.5000
W2 W 0.7500 0.2500 0.5000



Version x
# meta-GGA SCAN CoIrW2, PBEsol geometry
# M_tot   0.000 Bohr magnetons per cell
data_CoIrW2
_chemical_formula_sum 'Co1 Ir1 W2'
_cell_length_a 2.7142
_cell_length_b 4.3414
_cell_length_c 4.7106
_cell_angle_alpha 90.00
_cell_angle_beta 90.00
_cell_angle_gamma 90.00
_symmetry_space_group_name_H-M 'P 1'
_symmetry_Int_Tables_number 1
_symmetry_space_group_name_Hall 'P 1'
loop_
_atom_site_label
_atom_site_type_symbol
_atom_site_fract_x
_atom_site_fract_y
_atom_site_fract_z
Co1 Co 0.0000 0.0000 0.0000
Ir1 Ir 0.0000 0.5000 0.6515
W1 W 0.5000 0.0000 0.4881
W2 W 0.5000 0.5000 0.1369



Stability check: which of them is least stable? version x.



Version w
# meta-GGA SCAN CoIrW2, PBEsol geometry
# M_tot   0.028 Bohr magnetons per cell
data_CoIrW2
_chemical_formula_sum 'Co1 Ir1 W2'
_cell_length_a 3.8003
_cell_length_b 3.8003
_cell_length_c 3.8218
_cell_angle_alpha 90.00
_cell_angle_beta 90.00
_cell_angle_gamma 90.00
_symmetry_space_group_name_H-M 'P 1'
_symmetry_Int_Tables_number 1
_symmetry_space_group_name_Hall 'P 1'
loop_
_atom_site_label
_atom_site_type_symbol
_atom_site_fract_x
_atom_site_fract_y
_atom_site_fract_z
Co1 Co 0.0000 0.0000 0.0000
Ir1 Ir 0.5000 0.5000 0.0000
W1 W 0.0000 0.5000 0.5000
W2 W 0.5000 0.0000 0.5000



Version x
# meta-GGA SCAN CoIrW2, PBEsol geometry
# M_tot   0.006 Bohr magnetons per cell
data_CoIrW2
_chemical_formula_sum 'Co1 Ir1 W2'
_cell_length_a 4.6689
_cell_length_b 4.6689
_cell_length_c 2.7037
_cell_angle_alpha 90.00
_cell_angle_beta 90.00
_cell_angle_gamma 109.76
_symmetry_space_group_name_H-M 'P 1'
_symmetry_Int_Tables_number 1
_symmetry_space_group_name_Hall 'P 1'
loop_
_atom_site_label
_atom_site_type_symbol
_atom_site_fract_x
_atom_site_fract_y
_atom_site_fract_z
Co1 Co 0.0000 0.0000 0.0000
Ir1 Ir 0.5000 0.5000 0.0000
W1 W 0.0000 0.5000 0.5000
W2 W 0.5000 0.0000 0.5000



Stability check: which of them is least stable? version x.



Version w
# meta-GGA SCAN KLa2Co, PBEsol geometry
# M_tot   0.480 Bohr magnetons per cell
data_KLa2Co
_chemical_formula_sum 'K1 La2 Co1'
_cell_length_a 5.0320
_cell_length_b 5.0320
_cell_length_c 4.1715
_cell_angle_alpha 90.00
_cell_angle_beta 90.00
_cell_angle_gamma 90.00
_symmetry_space_group_name_H-M 'P 1'
_symmetry_Int_Tables_number 1
_symmetry_space_group_name_Hall 'P 1'
loop_
_atom_site_label
_atom_site_type_symbol
_atom_site_fract_x
_atom_site_fract_y
_atom_site_fract_z
K1 K 0.0000 0.0000 0.0000
La1 La 0.0000 0.5000 0.5000
La2 La 0.5000 0.0000 0.5000
Co1 Co 0.5000 0.5000 0.0000



Version x
# meta-GGA SCAN KLa2Co, PBEsol geometry
# M_tot   0.000 Bohr magnetons per cell
data_KLa2Co
_chemical_formula_sum 'K1 La2 Co1'
_cell_length_a 10.6776
_cell_length_b 10.6776
_cell_length_c 10.6776
_cell_angle_alpha 21.83
_cell_angle_beta 21.83
_cell_angle_gamma 21.83
_symmetry_space_group_name_H-M 'P 1'
_symmetry_Int_Tables_number 1
_symmetry_space_group_name_Hall 'P 1'
loop_
_atom_site_label
_atom_site_type_symbol
_atom_site_fract_x
_atom_site_fract_y
_atom_site_fract_z
K1 K 0.0000 0.0000 0.0000
La1 La 0.2120 0.2120 0.2120
La2 La 0.7880 0.7880 0.7880
Co1 Co 0.5000 0.5000 0.5000



Stability check: which of them is least stable? version w.



Version w
# meta-GGA SCAN K2LaCo, PBEsol geometry
# M_tot   0.084 Bohr magnetons per cell
data_K2LaCo
_chemical_formula_sum 'K2 La1 Co1'
_cell_length_a 5.4479
_cell_length_b 5.4479
_cell_length_c 5.4479
_cell_angle_alpha 60.00
_cell_angle_beta 60.00
_cell_angle_gamma 60.00
_symmetry_space_group_name_H-M 'P 1'
_symmetry_Int_Tables_number 1
_symmetry_space_group_name_Hall 'P 1'
loop_
_atom_site_label
_atom_site_type_symbol
_atom_site_fract_x
_atom_site_fract_y
_atom_site_fract_z
K1 K 0.0000 0.0000 0.0000
K2 K 0.2500 0.2500 0.2500
La1 La 0.5000 0.5000 0.5000
Co1 Co 0.7500 0.7500 0.7500



Version x
# meta-GGA SCAN K2LaCo, PBEsol geometry
# M_tot   0.000 Bohr magnetons per cell
data_K2LaCo
_chemical_formula_sum 'K2 La1 Co1'
_cell_length_a 11.2330
_cell_length_b 11.2330
_cell_length_c 11.2330
_cell_angle_alpha 21.18
_cell_angle_beta 21.18
_cell_angle_gamma 21.18
_symmetry_space_group_name_H-M 'P 1'
_symmetry_Int_Tables_number 1
_symmetry_space_group_name_Hall 'P 1'
loop_
_atom_site_label
_atom_site_type_symbol
_atom_site_fract_x
_atom_site_fract_y
_atom_site_fract_z
K1 K 0.0000 0.0000 0.0000
K2 K 0.2086 0.2086 0.2086
La1 La 0.7761 0.7761 0.7761
Co1 Co 0.4678 0.4678 0.4678



Stability check: which of them is least stable? version w.



Version w
# meta-GGA SCAN KMg2Co, PBEsol geometry
# M_tot   4.242 Bohr magnetons per cell
data_KMg2Co
_chemical_formula_sum 'K2 Mg4 Co2'
_cell_length_a 9.0803
_cell_length_b 9.0803
_cell_length_c 9.0803
_cell_angle_alpha 142.64
_cell_angle_beta 142.64
_cell_angle_gamma 53.87
_symmetry_space_group_name_H-M 'P 1'
_symmetry_Int_Tables_number 1
_symmetry_space_group_name_Hall 'P 1'
loop_
_atom_site_label
_atom_site_type_symbol
_atom_site_fract_x
_atom_site_fract_y
_atom_site_fract_z
K1 K 0.3750 0.6250 0.7500
K2 K 0.6250 0.3750 0.2500
Mg1 Mg 0.0000 0.0000 0.0000
Mg2 Mg 0.0000 0.0000 0.5000
Mg3 Mg 0.0000 0.5000 0.0000
Mg4 Mg 0.5000 0.0000 0.5000
Co1 Co 0.1250 0.8750 0.2500
Co2 Co 0.8750 0.1250 0.7500



Version x
# meta-GGA SCAN KMg2Co, PBEsol geometry
# M_tot   1.825 Bohr magnetons per cell
data_KMg2Co
_chemical_formula_sum 'K1 Mg2 Co1'
_cell_length_a 5.2897
_cell_length_b 5.2897
_cell_length_c 5.2897
_cell_angle_alpha 127.00
_cell_angle_beta 127.00
_cell_angle_gamma 78.25
_symmetry_space_group_name_H-M 'P 1'
_symmetry_Int_Tables_number 1
_symmetry_space_group_name_Hall 'P 1'
loop_
_atom_site_label
_atom_site_type_symbol
_atom_site_fract_x
_atom_site_fract_y
_atom_site_fract_z
K1 K 0.0000 0.0000 0.0000
Mg1 Mg 0.5000 0.5000 0.0000
Mg2 Mg 0.7500 0.2500 0.5000
Co1 Co 0.2500 0.7500 0.5000



Stability check: which of them is least stable? version x.



Version w
# meta-GGA SCAN K2MnCo, PBEsol geometry
# M_tot   5.906 Bohr magnetons per cell
data_K2MnCo
_chemical_formula_sum 'K2 Mn1 Co1'
_cell_length_a 3.0485
_cell_length_b 5.4247
_cell_length_c 5.6905
_cell_angle_alpha 90.00
_cell_angle_beta 90.00
_cell_angle_gamma 90.00
_symmetry_space_group_name_H-M 'P 1'
_symmetry_Int_Tables_number 1
_symmetry_space_group_name_Hall 'P 1'
loop_
_atom_site_label
_atom_site_type_symbol
_atom_site_fract_x
_atom_site_fract_y
_atom_site_fract_z
K1 K 0.0000 0.0000 0.2444
K2 K 0.0000 0.0000 0.7556
Mn1 Mn 0.5000 0.5000 0.5000
Co1 Co 0.5000 0.5000 0.0000



Version x
# meta-GGA SCAN K2MnCo, PBEsol geometry
# M_tot   6.775 Bohr magnetons per cell
data_K2MnCo
_chemical_formula_sum 'K2 Mn1 Co1'
_cell_length_a 5.4998
_cell_length_b 5.4998
_cell_length_c 5.4998
_cell_angle_alpha 60.00
_cell_angle_beta 60.00
_cell_angle_gamma 60.00
_symmetry_space_group_name_H-M 'P 1'
_symmetry_Int_Tables_number 1
_symmetry_space_group_name_Hall 'P 1'
loop_
_atom_site_label
_atom_site_type_symbol
_atom_site_fract_x
_atom_site_fract_y
_atom_site_fract_z
K1 K 0.2500 0.2500 0.2500
K2 K 0.7500 0.7500 0.7500
Mn1 Mn 0.0000 0.0000 0.0000
Co1 Co 0.5000 0.5000 0.5000



Version y
# meta-GGA SCAN K2MnCo, PBEsol geometry
# M_tot   5.619 Bohr magnetons per cell
data_K2MnCo
_chemical_formula_sum 'K2 Mn1 Co1'
_cell_length_a 3.2717
_cell_length_b 3.2717
_cell_length_c 9.9761
_cell_angle_alpha 90.00
_cell_angle_beta 90.00
_cell_angle_gamma 90.00
_symmetry_space_group_name_H-M 'P 1'
_symmetry_Int_Tables_number 1
_symmetry_space_group_name_Hall 'P 1'
loop_
_atom_site_label
_atom_site_type_symbol
_atom_site_fract_x
_atom_site_fract_y
_atom_site_fract_z
K1 K 0.0000 0.0000 0.0000
K2 K 0.5000 0.5000 0.4205
Mn1 Mn 0.0000 0.0000 0.6843
Co1 Co 0.5000 0.5000 0.7439



Version z
# meta-GGA SCAN K2MnCo, PBEsol geometry
# M_tot   5.835 Bohr magnetons per cell
data_K2MnCo
_chemical_formula_sum 'K2 Mn1 Co1'
_cell_length_a 6.1604
_cell_length_b 6.1604
_cell_length_c 2.9888
_cell_angle_alpha 90.00
_cell_angle_beta 90.00
_cell_angle_gamma 125.17
_symmetry_space_group_name_H-M 'P 1'
_symmetry_Int_Tables_number 1
_symmetry_space_group_name_Hall 'P 1'
loop_
_atom_site_label
_atom_site_type_symbol
_atom_site_fract_x
_atom_site_fract_y
_atom_site_fract_z
K1 K 0.0000 0.5000 0.0000
K2 K 0.5000 0.0000 0.0000
Mn1 Mn 0.0000 0.0000 0.5000
Co1 Co 0.5000 0.5000 0.5000



Stability check: which of them is least stable? version x.



Version w
# meta-GGA SCAN KMn2Co, PBEsol geometry
# M_tot   9.448 Bohr magnetons per cell
data_KMn2Co
_chemical_formula_sum 'K1 Mn2 Co1'
_cell_length_a 2.9397
_cell_length_b 2.9397
_cell_length_c 8.4883
_cell_angle_alpha 90.00
_cell_angle_beta 90.00
_cell_angle_gamma 90.00
_symmetry_space_group_name_H-M 'P 1'
_symmetry_Int_Tables_number 1
_symmetry_space_group_name_Hall 'P 1'
loop_
_atom_site_label
_atom_site_type_symbol
_atom_site_fract_x
_atom_site_fract_y
_atom_site_fract_z
K1 K 0.0000 0.0000 0.0000
Mn1 Mn 0.5000 0.5000 0.3411
Mn2 Mn 0.5000 0.5000 0.6589
Co1 Co 0.0000 0.0000 0.5000



Version x
# meta-GGA SCAN KMn2Co, PBEsol geometry
# M_tot   9.815 Bohr magnetons per cell
data_KMn2Co
_chemical_formula_sum 'K1 Mn2 Co1'
_cell_length_a 4.5902
_cell_length_b 4.5902
_cell_length_c 4.5902
_cell_angle_alpha 60.00
_cell_angle_beta 60.00
_cell_angle_gamma 60.00
_symmetry_space_group_name_H-M 'P 1'
_symmetry_Int_Tables_number 1
_symmetry_space_group_name_Hall 'P 1'
loop_
_atom_site_label
_atom_site_type_symbol
_atom_site_fract_x
_atom_site_fract_y
_atom_site_fract_z
K1 K 0.0000 0.0000 0.0000
Mn1 Mn 0.2500 0.2500 0.2500
Mn2 Mn 0.5000 0.5000 0.5000
Co1 Co 0.7500 0.7500 0.7500



Version y
# meta-GGA SCAN KMn2Co, PBEsol geometry
# M_tot   7.772 Bohr magnetons per cell
data_KMn2Co
_chemical_formula_sum 'K1 Mn2 Co1'
_cell_length_a 2.8800
_cell_length_b 2.8800
_cell_length_c 8.0301
_cell_angle_alpha 90.00
_cell_angle_beta 90.00
_cell_angle_gamma 90.00
_symmetry_space_group_name_H-M 'P 1'
_symmetry_Int_Tables_number 1
_symmetry_space_group_name_Hall 'P 1'
loop_
_atom_site_label
_atom_site_type_symbol
_atom_site_fract_x
_atom_site_fract_y
_atom_site_fract_z
K1 K 0.0000 0.0000 0.0000
Mn1 Mn 0.0000 0.0000 0.5468
Mn2 Mn 0.5000 0.5000 0.3629
Co1 Co 0.5000 0.5000 0.6845



Stability check: which of them is least stable? version x.



Version w
# meta-GGA SCAN KMnCo2, PBEsol geometry
# M_tot   4.657 Bohr magnetons per cell
data_KMnCo2
_chemical_formula_sum 'K1 Mn1 Co2'
_cell_length_a 2.8527
_cell_length_b 2.8527
_cell_length_c 7.6562
_cell_angle_alpha 90.00
_cell_angle_beta 90.00
_cell_angle_gamma 90.00
_symmetry_space_group_name_H-M 'P 1'
_symmetry_Int_Tables_number 1
_symmetry_space_group_name_Hall 'P 1'
loop_
_atom_site_label
_atom_site_type_symbol
_atom_site_fract_x
_atom_site_fract_y
_atom_site_fract_z
K1 K 0.0000 0.0000 0.0000
Mn1 Mn 0.0000 0.0000 0.5000
Co1 Co 0.5000 0.5000 0.3404
Co2 Co 0.5000 0.5000 0.6596



Version x
# meta-GGA SCAN KMnCo2, PBEsol geometry
# M_tot   6.223 Bohr magnetons per cell
data_KMnCo2
_chemical_formula_sum 'K1 Mn1 Co2'
_cell_length_a 4.3664
_cell_length_b 4.3664
_cell_length_c 4.3664
_cell_angle_alpha 60.00
_cell_angle_beta 60.00
_cell_angle_gamma 60.00
_symmetry_space_group_name_H-M 'P 1'
_symmetry_Int_Tables_number 1
_symmetry_space_group_name_Hall 'P 1'
loop_
_atom_site_label
_atom_site_type_symbol
_atom_site_fract_x
_atom_site_fract_y
_atom_site_fract_z
K1 K 0.0000 0.0000 0.0000
Mn1 Mn 0.5000 0.5000 0.5000
Co1 Co 0.2500 0.2500 0.2500
Co2 Co 0.7500 0.7500 0.7500



Stability check: which of them is least stable? version x.